Entry 1:
The following is a DFT calculation (PBE) of TbCuGeSe2S after structural relaxation.

Calculated values
Spin magnetization = 0.01 μB/f.u.
Space-group type = No. 63
Crystal system = orthorhombic

Cell: 6.797 6.797 10.228 Å, 90.00 90.00 146.75°
Element x y z (fractional)
Cu  0.022  0.978  0.250
Cu  0.978  0.022  0.750
Ge  0.739  0.261  0.250
Ge  0.261  0.739  0.750
S  0.418  0.582  0.250
S  0.582  0.418  0.750
Se  0.151  0.849  0.074
Se  0.151  0.849  0.426
Se  0.849  0.151  0.574
Se  0.849  0.151  0.926
Tb  0.500  0.500  0.000
Tb  0.500  0.500  0.500

Entry 2:
The following is a DFT calculation (PBE) of AcTmSi after structural relaxation.

Calculated values
Spin magnetization = 0.01 μB/f.u.
Space-group type = No. 216
E above lowest polymorph = 0 meV/atom
Crystal system = cubic

Cell: 5.073 5.073 5.073 Å, 60.00 60.00 60.00°
Element x y z (fractional)
Ac  0.250  0.250  0.250
Si  0.000  0.000  0.000
Tm  0.750  0.750  0.750

Entry 3:
The following is a DFT calculation (PBE) of Gd2ErMg3AlGa2 after structural relaxation.

Calculated values
Spin magnetization = 0.01 μB/f.u.
Space-group type = No. 38
Crystal system = orthorhombic

Cell: 4.508 7.279 7.279 Å, 119.64 90.00 90.00°
Element x y z (fractional)
Al  0.000  0.997  0.997
Er  0.000  0.567  0.567
Ga  0.500  0.666  0.336
Ga  0.500  0.336  0.666
Gd  0.000  0.435  0.001
Gd  0.000  0.001  0.435
Mg  0.500  0.244  0.244
Mg  0.500  0.000  0.756
Mg  0.500  0.756  0.000

Entry 4:
The following is a DFT calculation (PBE) of Tb7GaI12 after structural relaxation.

Calculated values
Spin magnetization = 0.03 μB/f.u.
Space-group type = No. 148
Crystal system = trigonal

Cell: 9.745 9.745 9.745 Å, 107.89 107.89 107.89°
Element x y z (fractional)
Ga  0.000  0.000  0.000
I  0.686  0.229  0.078
I  0.390  0.470  0.155
I  0.078  0.686  0.229
I  0.771  0.922  0.314
I  0.470  0.155  0.390
I  0.155  0.390  0.470
I  0.845  0.610  0.530
I  0.530  0.845  0.610
I  0.229  0.078  0.686
I  0.922  0.314  0.771
I  0.610  0.530  0.845
I  0.314  0.771  0.922
Tb  0.315  0.105  0.035
Tb  0.035  0.315  0.105
Tb  0.105  0.035  0.315
Tb  0.500  0.500  0.500
Tb  0.895  0.965  0.685
Tb  0.965  0.685  0.895
Tb  0.685  0.895  0.965

Entry 5:
The following is a DFT calculation (PBE) of KBaPbAu after structural relaxation.

Calculated values
Space-group type = No. 216
E above lowest polymorph = 0 meV/atom
Crystal system = cubic

Cell: 5.572 5.572 5.572 Å, 60.00 60.00 60.00°
Element x y z (fractional)
Au  0.750  0.750  0.750
Ba  0.000  0.000  0.000
K  0.250  0.250  0.250
Pb  0.500  0.500  0.500

Entry 6:
The following is a DFT calculation (PBE) of MgAlZnFe after structural relaxation.

Calculated values
Spin magnetization = 1.54 μB/f.u.
Space-group type = No. 216
E above lowest polymorph = 0 meV/atom
Crystal system = cubic

Cell: 4.297 4.297 4.297 Å, 60.00 60.00 60.00°
Site moments in Bohr magnetons follow the coordinates.
Element x y z (fractional)
Al  0.000  0.000  0.000  -0.02
Fe  0.250  0.250  0.250  1.62
Mg  0.500  0.500  0.500  -0.01
Zn  0.750  0.750  0.750  -0.03

Entry 7:
The following is a DFT calculation (PBE) of Ho2TmAl3Si2Pd after structural relaxation.

Calculated values
Spin magnetization = 0.00 μB/f.u.
Space-group type = No. 38
Crystal system = orthorhombic

Cell: 4.230 6.844 6.844 Å, 119.95 90.00 90.00°
Element x y z (fractional)
Al  0.500  0.240  0.240
Al  0.500  0.000  0.761
Al  0.500  0.761  0.000
Ho  0.000  0.418  0.000
Ho  0.000  0.000  0.418
Pd  0.000  0.998  0.998
Si  0.500  0.666  0.335
Si  0.500  0.335  0.666
Tm  0.000  0.582  0.582

Entry 8:
The following is a DFT calculation (PBE) of Nd2Si2ICl after structural relaxation.

Calculated values
Spin magnetization = 0.00 μB/f.u.
Space-group type = No. 156
Crystal system = trigonal

Cell: 4.141 4.141 11.414 Å, 90.00 90.00 120.00°
Element x y z (fractional)
Cl  0.333  0.667  0.670
I  0.667  0.333  0.357
Nd  0.000  0.000  0.169
Nd  0.000  0.000  0.818
Si  0.333  0.667  0.000
Si  0.667  0.333  0.987

Entry 9:
The following is a DFT calculation (PBE) of YMgAgSeS2 after structural relaxation.

Calculated values
Spin magnetization = 0.01 μB/f.u.
Space-group type = No. 63
Crystal system = orthorhombic

Cell: 6.711 6.711 10.772 Å, 90.00 90.00 147.04°
Element x y z (fractional)
Ag  0.984  0.016  0.250
Ag  0.016  0.984  0.750
Mg  0.281  0.719  0.250
Mg  0.719  0.281  0.750
S  0.859  0.141  0.074
S  0.859  0.141  0.426
S  0.141  0.859  0.574
S  0.141  0.859  0.926
Se  0.627  0.374  0.250
Se  0.374  0.627  0.750
Y  0.500  0.500  0.000
Y  0.500  0.500  0.500

Entry 10:
The following is a DFT calculation (PBE) of Li4TePdO6 after structural relaxation.

Calculated values
Space-group type = No. 5
Crystal system = monoclinic

Cell: 5.217 5.217 5.355 Å, 104.02 104.02 114.65°
Element x y z (fractional)
Li  0.501  0.499  0.000
Li  0.672  0.328  0.500
Li  0.333  0.667  0.500
Li  0.986  0.014  0.500
O  0.938  0.610  0.201
O  0.238  0.215  0.242
O  0.529  0.883  0.275
O  0.117  0.471  0.725
O  0.785  0.762  0.758
O  0.390  0.062  0.799
Pd  0.834  0.166  0.000
Te  0.176  0.824  0.000

Entry 11:
The following is a DFT calculation (PBE) of TcMo2As2 after structural relaxation.

Calculated values
Spin magnetization = 2.61 μB/f.u.
Space-group type = No. 139
Crystal system = tetragonal

Cell: 5.433 5.433 5.433 Å, 130.28 130.28 72.96°
Element x y z (fractional)
As  0.750  0.250  0.500
As  0.250  0.750  0.500
Mo  0.370  0.370  0.000
Mo  0.630  0.630  0.000
Tc  0.000  0.000  0.000

Entry 12:
The following is a DFT calculation (PBE) of AcYHg after structural relaxation.

Calculated values
E_form = -0.09 eV/atom
Spin magnetization = 0.03 μB/f.u.
Space-group type = No. 216
E above lowest polymorph = 0 meV/atom
Crystal system = cubic

Cell: 5.351 5.351 5.351 Å, 60.00 60.00 60.00°
Element x y z (fractional)
Ac  0.250  0.250  0.250
Hg  0.000  0.000  0.000
Y  0.750  0.750  0.750

Entry 13:
The following is a DFT calculation (PBE) of Ta16Ni13 after structural relaxation.

Calculated values
E_form = 0.06 eV/atom
Spin magnetization = 0.03 μB/f.u.
Space-group type = No. 217
E above lowest polymorph = 113 meV/atom
Crystal system = cubic

Cell: 8.336 8.336 8.336 Å, 109.47 109.47 109.47°
Element x y z (fractional)
Ni  0.000  0.000  0.000
Ni  0.686  0.422  0.000
Ni  0.422  0.686  0.000
Ni  0.578  0.578  0.264
Ni  0.736  0.314  0.314
Ni  0.314  0.736  0.314
Ni  0.686  0.000  0.422
Ni  0.000  0.686  0.422
Ni  0.578  0.264  0.578
Ni  0.264  0.578  0.578
Ni  0.422  0.000  0.686
Ni  0.000  0.422  0.686
Ni  0.314  0.314  0.736
Ta  0.651  0.000  0.000
Ta  0.400  0.199  0.000
Ta  0.199  0.400  0.000
Ta  0.000  0.651  0.000
Ta  0.400  0.000  0.199
Ta  0.000  0.400  0.199
Ta  0.801  0.801  0.201
Ta  0.349  0.349  0.349
Ta  0.199  0.000  0.400
Ta  0.000  0.199  0.400
Ta  0.799  0.600  0.600
Ta  0.600  0.799  0.600
Ta  0.000  0.000  0.651
Ta  0.600  0.600  0.799
Ta  0.801  0.201  0.801
Ta  0.201  0.801  0.801

Entry 14:
The following is a DFT calculation (PBE) of AcTmO3 after structural relaxation.

Calculated values
Spin magnetization = 0.00 μB/f.u.
Space-group type = No. 62
Crystal system = orthorhombic

Cell: 5.940 6.089 8.494 Å, 90.00 90.00 90.00°
Element x y z (fractional)
Ac  0.988  0.046  0.250
Ac  0.512  0.546  0.250
Ac  0.488  0.454  0.750
Ac  0.012  0.954  0.750
O  0.698  0.301  0.057
O  0.802  0.801  0.057
O  0.107  0.457  0.250
O  0.393  0.957  0.250
O  0.698  0.301  0.443
O  0.802  0.801  0.443
O  0.198  0.199  0.557
O  0.302  0.699  0.557
O  0.607  0.043  0.750
O  0.893  0.543  0.750
O  0.198  0.199  0.943
O  0.302  0.699  0.943
Tm  0.500  0.000  0.000
Tm  0.000  0.500  0.000
Tm  0.500  0.000  0.500
Tm  0.000  0.500  0.500

Entry 15:
The following is a DFT calculation (PBE) of PrCuSbAs after structural relaxation.

Calculated values
Spin magnetization = 0.00 μB/f.u.
Space-group type = No. 129
E above lowest polymorph = 73 meV/atom
Crystal system = tetragonal

Cell: 4.209 4.209 10.321 Å, 90.00 90.00 90.00°
Element x y z (fractional)
As  0.000  0.000  0.500
As  0.500  0.500  0.500
Cu  0.000  0.000  0.000
Cu  0.500  0.500  0.000
Pr  0.500  0.000  0.271
Pr  0.000  0.500  0.729
Sb  0.000  0.500  0.157
Sb  0.500  0.000  0.843

Entry 16:
The following is a DFT calculation (PBE) of DyTc2 after structural relaxation.

Calculated values
E_form = 1.47 eV/atom
Spin magnetization = 2.39 μB/f.u.
Space-group type = No. 225
E above lowest polymorph = 1651 meV/atom
Crystal system = cubic

Cell: 4.463 4.463 4.463 Å, 60.00 60.00 60.00°
Site moments in Bohr magnetons follow the coordinates.
Element x y z (fractional)
Dy  0.000  0.000  0.000  0.11
Tc  0.250  0.250  0.250  1.07
Tc  0.750  0.750  0.750  1.07

Entry 17:
The following is a DFT calculation (PBE) of MgHgSeO after structural relaxation.

Calculated values
Space-group type = No. 186
E above lowest polymorph = 384 meV/atom
Crystal system = hexagonal

Cell: 3.926 3.926 11.721 Å, 90.00 90.00 120.00°
Element x y z (fractional)
Hg  0.333  0.667  0.269
Hg  0.667  0.333  0.769
Mg  0.000  0.000  0.494
Mg  0.000  0.000  0.994
O  0.000  0.000  0.329
O  0.000  0.000  0.829
Se  0.667  0.333  0.095
Se  0.333  0.667  0.595

Entry 18:
The following is a DFT calculation (PBE) of HfUW after structural relaxation.

Calculated values
E_form = 1.32 eV/atom
Spin magnetization = 1.16 μB/f.u.
Space-group type = No. 216
E above lowest polymorph = 639 meV/atom
Crystal system = cubic

Cell: 4.560 4.560 4.560 Å, 60.00 60.00 60.00°
Element x y z (fractional)
Hf  0.250  0.250  0.250
U  0.000  0.000  0.000
W  0.750  0.750  0.750

Entry 19:
The following is a DFT calculation (PBE) of HoCuPd after structural relaxation.

Calculated values
E_form = -0.41 eV/atom
Spin magnetization = 0.00 μB/f.u.
Space-group type = No. 216
E above lowest polymorph = 0 meV/atom
Crystal system = cubic

Cell: 4.490 4.490 4.490 Å, 60.00 60.00 60.00°
Element x y z (fractional)
Cu  0.250  0.250  0.250
Ho  0.750  0.750  0.750
Pd  0.000  0.000  0.000

Entry 20:
The following is a DFT calculation (PBE) of TlCuNiPt after structural relaxation.

Calculated values
Spin magnetization = 0.00 μB/f.u.
Space-group type = No. 216
E above lowest polymorph = 0 meV/atom
Crystal system = cubic

Cell: 4.406 4.406 4.406 Å, 60.00 60.00 60.00°
Element x y z (fractional)
Cu  0.750  0.750  0.750
Ni  0.250  0.250  0.250
Pt  0.500  0.500  0.500
Tl  0.000  0.000  0.000

Entry 21:
The following is a DFT calculation (PBE) of FeSi2B after structural relaxation.

Calculated values
Spin magnetization = 0.03 μB/f.u.
Space-group type = No. 216
Crystal system = cubic

Cell: 3.907 3.907 3.907 Å, 60.00 60.00 60.00°
Element x y z (fractional)
B  0.500  0.500  0.500
Fe  0.250  0.250  0.250
Si  0.000  0.000  0.000
Si  0.750  0.750  0.750

Entry 22:
The following is a DFT calculation (PBE) of ScCuCl after structural relaxation.

Calculated values
Spin magnetization = 0.00 μB/f.u.
Space-group type = No. 189
Crystal system = hexagonal

Cell: 6.466 6.466 4.775 Å, 90.00 90.00 120.00°
Element x y z (fractional)
Cl  0.599  0.000  0.500
Cl  0.401  0.401  0.500
Cl  0.000  0.599  0.500
Cu  0.216  0.000  0.000
Cu  0.000  0.216  0.000
Cu  0.784  0.784  0.000
Sc  0.667  0.333  0.000
Sc  0.333  0.667  0.000
Sc  0.000  0.000  0.500

Entry 23:
The following is a DFT calculation (PBE) of BaDyPa after structural relaxation.

Calculated values
Spin magnetization = 1.69 μB/f.u.
Space-group type = No. 216
E above lowest polymorph = 0 meV/atom
Crystal system = cubic

Cell: 5.554 5.554 5.554 Å, 60.00 60.00 60.00°
Site moments in Bohr magnetons follow the coordinates.
Element x y z (fractional)
Ba  0.250  0.250  0.250  0.03
Dy  0.000  0.000  0.000  0.30
Pa  0.750  0.750  0.750  1.10

Entry 24:
The following is a DFT calculation (PBE) of MgFeSiPd after structural relaxation.

Calculated values
Spin magnetization = 0.35 μB/f.u.
Space-group type = No. 216
E above lowest polymorph = 0 meV/atom
Crystal system = cubic

Cell: 4.204 4.204 4.204 Å, 60.00 60.00 60.00°
Element x y z (fractional)
Fe  0.750  0.750  0.750
Mg  0.500  0.500  0.500
Pd  0.250  0.250  0.250
Si  0.000  0.000  0.000

Entry 25:
The following is a DFT calculation (PBE) of Zr after structural relaxation.

Calculated values
E_form = 0.00 eV/atom
Spin magnetization = 0.00 μB/f.u.
Space-group type = No. 191
E above lowest polymorph = 1 meV/atom
Crystal system = hexagonal

Cell: 5.040 5.040 3.148 Å, 90.00 90.00 120.00°
Element x y z (fractional)
Zr  0.000  0.000  0.000
Zr  0.667  0.333  0.500
Zr  0.333  0.667  0.500

no.,total energy (eV/atom)
1,-4.858
2,-4.961
3,-3.584
4,-3.912
5,-2.803
6,-3.658
7,-5.341
8,-5.192
9,-4.901
10,-5.264
11,-7.586
12,-3.709
13,-8.977
14,-8.202
15,-5.001
16,-6.970
17,-3.379
18,-10.088
19,-4.897
20,-4.343
21,-5.805
22,-4.448
23,-3.984
24,-5.412
25,-8.546